Crystalline LaSiAg2 at its relaxed geometry, computed with PBE-GGA.

Cell: 10.0441 10.0441 10.0441 Å, 18.03 18.03 18.03°
Each line ends with the local moment (μB).
Positions (direct):
Si 0.7500 0.7500 0.7500  0.01
La 0.2500 0.2500 0.2500  0.48
Ag 0.0139 0.0139 0.0139  0.01
Ag 0.4861 0.4861 0.4861  0.01

Calculated values
- SG: R-3m, No. 166
- Calculated volume: 21.19 A^3/atom
- Final energy: -3.7412 eV per atom
- Formation energy without anion corrections: 0.272 eV/atom
- Total moment: 0.80 μB per cell